Record 1
# IrRhCl2

IrRhCl2 after structural relaxation (PBE-GGA, Alexandria).

Cell: 3.5640 3.5640 7.0576 Å, 90.00 90.00 90.00°
Last column: nearest neighbours and their distance in Å.
Space group P4mm (No. 99)
Asymmetric unit:
Ir (0.0000, 0.0000, 0.0000) x1  1 Cl 2.28
Rh (0.5000, 0.5000, 0.0742) x1  1 Cl 2.29
Cl (0.0000, 0.0000, 0.3237) x1  1 Ir 2.28
Cl (0.5000, 0.5000, 0.7494) x1  1 Rh 2.29

Values from the calculation:
D(E_F) (states/eV/f.u.): 2.18
Size of the total moment (μB per formula unit): 0.00
Uncorrected formation energy (kcal/mol of atoms): 10.014
Relative energy among the computed polymorphs (meV per atom): 347

***

Record 2
# Ir2Rh2Cl

Ir2Rh2Cl after structural relaxation (PBE-GGA, Alexandria).

Cell: 7.6416 7.6416 2.7792 Å, 90.00 90.00 90.00°
Last column: nearest neighbours and their distance in Å.
Space group P4/mbm (No. 127)
Asymmetric unit:
Ir (0.1190, 0.3810, 0.0000) x4  3 Ir 2.57-2.78, 6 Rh 2.61-2.69
Rh (0.1766, 0.6766, 0.5000) x4  6 Ir 2.61-2.69, 2 Rh 2.78, 2 Cl 2.82
Cl (0.0000, 0.0000, 0.5000) x2  2 Cl 2.78, 4 Rh 2.82

Values from the calculation:
D(E_F) (states/eV/f.u.): 6.58
Size of the total moment (μB per formula unit): 0.00
Uncorrected formation energy (kcal/mol of atoms): 12.429
Relative energy among the computed polymorphs (meV per atom): 0

***

Record 3
# IrRhCl2

IrRhCl2 after structural relaxation (PBE-GGA, Alexandria).

Cell: 3.0592 4.1278 5.0952 Å, 90.00 93.71 90.00°
Last column: nearest neighbours and their distance in Å.
Space group P2/m (No. 10)
Asymmetric unit:
Ir (0.0000, 0.0000, 0.0000) x1  4 Cl 2.50
Rh (0.5000, 0.0000, 0.5000) x1  4 Cl 2.53
Cl (0.2371, 0.5000, 0.2482) x2  2 Ir 2.50, 2 Rh 2.53

Values from the calculation:
D(E_F) (states/eV/f.u.): 4.18
Size of the total moment (μB per formula unit): 0.00
Uncorrected formation energy (kcal/mol of atoms): 14.498
Relative energy among the computed polymorphs (meV per atom): 542

***

Record 4
# IrRhCl2

IrRhCl2 after structural relaxation (PBE-GGA, Alexandria).

Cell: 4.4971 4.4971 3.1032 Å, 90.00 90.00 90.00°
Last column: nearest neighbours and their distance in Å.
Space group P4/mmm (No. 123)
Asymmetric unit:
Ir (0.0000, 0.0000, 0.0000) x1  8 Cl 2.73
Rh (0.5000, 0.5000, 0.0000) x1  8 Cl 2.73
Cl (0.0000, 0.5000, 0.5000) x2  4 Rh 2.73, 4 Ir 2.73

Values from the calculation:
D(E_F) (states/eV/f.u.): 5.83
Size of the total moment (μB per formula unit): 1.65
Uncorrected formation energy (kcal/mol of atoms): 23.540
Relative energy among the computed polymorphs (meV per atom): 934

***

Record 5
# IrRhCl2

IrRhCl2 after structural relaxation (PBE-GGA, Alexandria).

Cell: 12.6703 2.9720 4.7126 Å, 90.00 94.80 90.00°
Last column: nearest neighbours and their distance in Å.
Space group C2/m (No. 12)
Asymmetric unit:
Ir (0.0000, 0.0000, 0.0000) x2  2 Cl 2.28
Rh (0.0000, 0.5000, 0.5000) x2  4 Cl 2.48
Cl (0.1401, 0.0000, 0.7250) x4  1 Ir 2.28, 2 Rh 2.48

Values from the calculation:
D(E_F) (states/eV/f.u.): 4.08
Size of the total moment (μB per formula unit): 0.89
Uncorrected formation energy (kcal/mol of atoms): 6.873
Relative energy among the computed polymorphs (meV per atom): 211

***

Record 6
# IrRhCl2

IrRhCl2 after structural relaxation (PBE-GGA, Alexandria).

Cell: 6.3038 3.6374 7.8275 Å, 90.00 105.13 90.00°
Last column: nearest neighbours and their distance in Å.
Space group Cm (No. 8)
Asymmetric unit:
Ir (0.0000, 0.0000, 0.0000) x2  3 Rh 2.47, 3 Cl 2.56-2.57
Rh (0.2778, 0.0000, 0.8287) x2  3 Ir 2.47, 3 Cl 2.58
Cl (0.0473, 0.5000, 0.6310) x2  3 Rh 2.58
Cl (0.2305, 0.5000, 0.1952) x2  3 Ir 2.56-2.57

Values from the calculation:
D(E_F) (states/eV/f.u.): 3.32
Size of the total moment (μB per formula unit): 2.03
Uncorrected formation energy (kcal/mol of atoms): 2.007
Relative energy among the computed polymorphs (meV per atom): 0

***

Record 7
# IrRhCl2

IrRhCl2 after structural relaxation (PBE-GGA, Alexandria).

Cell: 2.8317 5.3650 9.6106 Å, 90.00 90.00 90.00°
Last column: nearest neighbours and their distance in Å.
Space group Cmm2 (No. 35)
Asymmetric unit:
Ir (0.0000, 0.0000, 0.0000) x2  2 Cl 2.43, 2 Rh 2.63
Rh (0.0000, 0.5000, 0.2305) x2  2 Cl 2.42, 2 Ir 2.63
Cl (0.0000, 0.0000, 0.4346) x2  2 Rh 2.42
Cl (0.0000, 0.5000, 0.7940) x2  2 Ir 2.43

Values from the calculation:
D(E_F) (states/eV/f.u.): 5.84
Size of the total moment (μB per formula unit): 0.00
Uncorrected formation energy (kcal/mol of atoms): 8.481
Relative energy among the computed polymorphs (meV per atom): 281

***

Record 8
# IrRhCl6

IrRhCl6 after structural relaxation (PBE-GGA, Alexandria).

Cell: 5.9535 11.6490 5.9313 Å, 90.00 105.85 90.00°
Last column: nearest neighbours and their distance in Å.
Space group C2/m (No. 12)
Asymmetric unit:
Ir (0.0000, 0.0000, 0.0000) x2  6 Cl 2.36-2.38
Rh (0.0000, 0.5000, 0.5000) x2  6 Cl 2.39-2.42
Cl (0.2054, 0.0000, 0.7111) x4  1 Ir 2.36, 1 Rh 2.42
Cl (0.2377, 0.3659, 0.7643) x8  1 Ir 2.38, 1 Rh 2.39

Values from the calculation:
D(E_F) (states/eV/f.u.): 5.48
Size of the total moment (μB per formula unit): 0.00
Uncorrected formation energy (kcal/mol of atoms): -8.960

***

Record 9
# IrRhCl2

IrRhCl2 after structural relaxation (PBE-GGA, Alexandria).

Cell: 6.3678 6.3678 6.3678 Å, 90.00 90.00 90.00°
Last column: nearest neighbours and their distance in Å.
Space group F-43m (No. 216)
Asymmetric unit:
Ir (0.0000, 0.0000, 0.0000) x4  4 Cl 2.76, 4 Rh 2.76
Rh (0.2500, 0.2500, 0.2500) x4  4 Cl 2.76, 4 Ir 2.76
Cl (0.0000, 0.0000, 0.5000) x4  4 Cl 2.76, 4 Rh 2.76
Cl (0.2500, 0.2500, 0.7500) x4  4 Cl 2.76, 4 Ir 2.76

Values from the calculation:
D(E_F) (states/eV/f.u.): 1.30
Size of the total moment (μB per formula unit): 0.00
Uncorrected formation energy (kcal/mol of atoms): 21.082
Relative energy among the computed polymorphs (meV per atom): 827

***

Record 10
# IrRhSeCl2

IrRhSeCl2 after structural relaxation (PBE-GGA, Alexandria).

Cell: 4.4846 4.4846 5.2809 Å, 90.00 90.00 90.00°
Last column: nearest neighbours and their distance in Å.
Space group P4/mmm (No. 123)
Asymmetric unit:
Ir (0.0000, 0.0000, 0.0000) x1  2 Rh 2.64
Rh (0.0000, 0.0000, 0.5000) x1  4 Cl 2.24
Se (0.5000, 0.5000, 0.0000) x1  4 Ir 3.17, 8 Cl 3.46
Cl (0.0000, 0.5000, 0.5000) x2  2 Rh 2.24

Values from the calculation:
D(E_F) (states/eV/f.u.): 6.78
Size of the total moment (μB per formula unit): 0.87
Uncorrected formation energy (kcal/mol of atoms): 19.419

***

Record 11
# Ir2RhSeCl

Ir2RhSeCl after structural relaxation (PBE-GGA, Alexandria).

Cell: 4.5513 4.5513 5.0869 Å, 90.00 90.00 90.00°
Last column: nearest neighbours and their distance in Å.
Space group P4/mmm (No. 123)
Asymmetric unit:
Ir (0.0000, 0.5000, 0.0000) x2  2 Se 2.28
Rh (0.0000, 0.0000, 0.5000) x1  4 Cl 3.22, 8 Ir 3.41
Se (0.5000, 0.5000, 0.0000) x1  4 Ir 2.28, 2 Cl 2.54
Cl (0.5000, 0.5000, 0.5000) x1  2 Se 2.54

Values from the calculation:
D(E_F) (states/eV/f.u.): 7.66
Size of the total moment (μB per formula unit): 2.43
Uncorrected formation energy (kcal/mol of atoms): 33.933

***

Record 12
# Sm8IrRh3Cl4

Sm8IrRh3Cl4 after structural relaxation (PBE-GGA, Alexandria).

Cell: 14.0254 8.1030 8.8493 Å, 90.00 122.00 90.00°
Last column: nearest neighbours and their distance in Å.
Space group C2/m (No. 12)
Asymmetric unit:
Sm (0.0150, 0.2494, 0.2966) x8  1 Ir 2.79, 2 Rh 2.79-2.80
Sm (0.2343, 0.0000, 0.7034) x4  1 Ir 2.79, 2 Rh 2.79
Sm (0.2347, 0.5000, 0.7033) x4  3 Rh 2.79
Ir (0.0000, 0.0000, 0.5000) x2  6 Sm 2.79
Rh (0.0000, 0.5000, 0.5000) x2  6 Sm 2.79
Rh (0.2500, 0.2500, 0.5000) x4  6 Sm 2.79-2.80
Cl (0.0000, 0.0000, 0.0000) x2  6 Sm 3.22-3.23
Cl (0.0000, 0.5000, 0.0000) x2  6 Sm 3.23-3.24
Cl (0.2500, 0.2500, 0.0000) x4  6 Sm 3.22-3.23

Values from the calculation:
D(E_F) (states/eV/f.u.): 3.96
Size of the total moment (μB per formula unit): 0.00
Uncorrected formation energy (kcal/mol of atoms): -27.389

***

> The lowest uncorrected formation energy belongs to which entry?

Sm8IrRh3Cl4